(1)
K2ScPdCl6: relaxed, GGA-PBE.

a = 10.1683 Å, b = 10.1683 Å, c = 10.1683 Å
α = 90.00°, β = 90.00°, γ = 90.00°
Closest atoms and distances in Å follow each position.
Space group Fm-3m (No. 225)
Asymmetric unit:
K: 0.2500 0.2500 0.2500 x8  12 Cl 3.60
Sc: 0.0000 0.0000 0.0000 x4  6 Cl 2.48
Pd: 0.0000 0.0000 0.5000 x4  6 Cl 2.60
Cl: 0.0000 0.0000 0.2442 x24  1 Sc 2.48, 1 Pd 2.60

## Properties
E_tot: -4.078 eV per atom


(2)
KTl2PdCl6: relaxed, GGA-PBE.

a = 7.3121 Å, b = 7.3121 Å, c = 11.1464 Å
α = 90.00°, β = 90.00°, γ = 90.00°
Closest atoms and distances in Å follow each position.
Space group I4/m (No. 87)
Asymmetric unit:
K: 0.0000 0.0000 0.0000 x2  6 Cl 3.04-3.08
Tl: 0.0000 0.5000 0.2500 x4  8 Cl 3.33-3.67
Pd: 0.0000 0.0000 0.5000 x2  6 Cl 2.38-2.50
Cl: 0.0000 0.0000 0.2760 x4  1 Pd 2.50
Cl: 0.1384 0.2940 0.5000 x8  1 Pd 2.38

## Properties
energy above the most stable polymorph in this dataset: 0 meV/atom


- What is the formula in the first record?
  K2ScPdCl6